The following is a PBE calculation of a geometry-optimized LaTa4Cu structure, from Alexandria.

a b c (Å): 5.6450 5.6450 5.6450
angles (deg): 60.00 60.00 60.00
Last column: nearest neighbours and their distance in Å.
Fractional coordinates of all 6 atoms:
Cu 0.7500 0.7500 0.7500  12 Ta 3.31, 4 La 3.46
Ta 0.8788 0.3737 0.3737  6 Ta 2.79-2.85
La 0.0000 0.0000 0.0000  12 Ta 3.31, 4 Cu 3.46
Ta 0.3737 0.3737 0.3737  6 Ta 2.79-2.85
Ta 0.3737 0.3737 0.8788  6 Ta 2.79-2.85
Ta 0.3737 0.8788 0.3737  6 Ta 2.79-2.85

- N(E_F): 8.324 states/eV/cell
- Energy of formation from the pure elements: 0.600 eV/atom
- V: 127 Å³ per cell
- Space-group type: F-43m

---

The following is a PBE calculation of a geometry-optimized LaTaCu2 structure, from Alexandria.

a b c (Å): 3.1651 3.1651 7.4581
angles (deg): 90.00 90.00 90.00
Last column: nearest neighbours and their distance in Å.
Fractional coordinates of all 4 atoms:
Ta 0.5000 0.5000 0.8146  5 Cu 2.72-2.73
La 0.0000 0.0000 0.4828  4 La 3.17, 5 Cu 3.17-3.44, 4 Ta 3.34
Cu 0.0000 0.0000 0.0216  4 Cu 2.53, 4 Ta 2.72
Cu 0.5000 0.5000 0.1810  4 Cu 2.53, 1 Ta 2.73

- N(E_F): 2.901 states/eV/cell
- Energy of formation from the pure elements: 0.214 eV/atom
- V: 75 Å³ per cell
- ΔE to the lowest computed polymorph: 29 kJ/mol of formula units
- Space-group type: P4mm

---

The following is a PBE calculation of a geometry-optimized La2TaCu structure, from Alexandria.

a b c (Å): 3.2911 5.5188 5.5188
angles (deg): 90.00 90.00 90.00
Last column: nearest neighbours and their distance in Å.
Fractional coordinates of all 4 atoms:
Ta 0.5000 0.5000 0.0000  8 La 3.21, 2 Ta 3.29
Cu 0.5000 0.0000 0.5000  8 La 3.21, 2 Cu 3.29
La 0.0000 0.0000 0.0000  4 Ta 3.21, 4 Cu 3.21, 2 La 3.29
La 0.0000 0.5000 0.5000  4 Ta 3.21, 4 Cu 3.21, 2 La 3.29

- N(E_F): 5.246 states/eV/cell
- Energy of formation from the pure elements: 0.337 eV/atom
- V: 100 Å³ per cell
- ΔE to the lowest computed polymorph: 48 kJ/mol of formula units
- Space-group type: P4/mmm

---

The following is a PBE calculation of a geometry-optimized LaTaCu2 structure, from Alexandria.

a b c (Å): 8.9656 8.9656 8.9656
angles (deg): 20.73 20.73 20.73
Last column: nearest neighbours and their distance in Å.
Fractional coordinates of all 4 atoms:
La 0.2500 0.2500 0.2500  6 Cu 3.14, 6 La 3.23
Cu 0.0128 0.0128 0.0128  3 Ta 2.63
Cu 0.4872 0.4872 0.4872  3 Ta 2.63
Ta 0.7500 0.7500 0.7500  6 Cu 2.63

- N(E_F): 4.844 states/eV/cell
- Energy of formation from the pure elements: 0.437 eV/atom
- V: 79 Å³ per cell
- ΔE to the lowest computed polymorph: 115 kJ/mol of formula units
- Space-group type: R-3m

---

The following is a PBE calculation of a geometry-optimized La3TaCu structure, from Alexandria.

a b c (Å): 5.4159 5.4159 5.4159
angles (deg): 90.00 90.00 90.00
Last column: nearest neighbours and their distance in Å.
Fractional coordinates of all 5 atoms:
La 0.5000 0.0000 0.0000  2 Cu 2.71
Ta 0.5000 0.5000 0.5000  12 La 3.83
La 0.0000 0.5000 0.0000  2 Cu 2.71
La 0.0000 0.0000 0.5000  2 Cu 2.71
Cu 0.0000 0.0000 0.0000  6 La 2.71

- N(E_F): 11.979 states/eV/cell
- Energy of formation from the pure elements: 0.824 eV/atom
- V: 159 Å³ per cell
- Space-group type: Pm-3m

---

The following is a PBE calculation of a geometry-optimized LaTaCu2 structure, from Alexandria.

a b c (Å): 4.3408 4.3408 5.8349
angles (deg): 68.22 68.22 60.07
Last column: nearest neighbours and their distance in Å.
Fractional coordinates of all 4 atoms:
Ta 0.2500 0.2500 0.2500  6 Cu 2.56
Cu 0.9477 0.9477 0.1558  3 Ta 2.56, 3 Cu 2.69-2.70
Cu 0.5523 0.5523 0.3442  3 Ta 2.56, 3 Cu 2.69-2.70
La 0.7500 0.7500 0.7500  8 Cu 3.13-3.30

- N(E_F): 3.467 states/eV/cell
- Energy of formation from the pure elements: 0.185 eV/atom
- V: 86 Å³ per cell
- ΔE to the lowest computed polymorph: 18 kJ/mol of formula units
- Space-group type: R-3m

---

The following is a PBE calculation of a geometry-optimized La2TaCu structure, from Alexandria.

a b c (Å): 5.7461 5.7461 5.7461
angles (deg): 134.41 134.41 66.44
Last column: nearest neighbours and their distance in Å.
Fractional coordinates of all 4 atoms:
Ta 0.5000 0.5000 0.0000  8 La 3.15-3.28, 4 Cu 3.28
La 0.0000 0.0000 0.0000  4 Ta 3.15, 4 Cu 3.28, 4 La 3.28
La 0.2500 0.7500 0.5000  4 Cu 3.15, 4 Ta 3.28, 4 La 3.28
Cu 0.7500 0.2500 0.5000  8 La 3.15-3.28, 4 Ta 3.28

- N(E_F): 4.636 states/eV/cell
- Energy of formation from the pure elements: 0.454 eV/atom
- V: 95 Å³ per cell
- ΔE to the lowest computed polymorph: 93 kJ/mol of formula units
- Space-group type: I-4m2

---

The following is a PBE calculation of a geometry-optimized La2TaZnCu structure, from Alexandria.

a b c (Å): 5.5315 5.0113 5.5315
angles (deg): 90.00 90.00 90.00
Last column: nearest neighbours and their distance in Å.
Fractional coordinates of all 5 atoms:
Zn 0.0000 0.5000 0.0000  2 Ta 2.51
La 0.0000 0.0000 0.5000  2 Ta 2.77
La 0.5000 0.0000 0.0000  2 Ta 2.77
Cu 0.5000 0.5000 0.5000  8 La 3.73, 4 Zn 3.91
Ta 0.0000 0.0000 0.0000  2 Zn 2.51, 4 La 2.77

- N(E_F): 4.633 states/eV/cell
- Energy of formation from the pure elements: 0.727 eV/atom
- V: 153 Å³ per cell
- Space-group type: P4/mmm